First-principles (GGA+U) data for a geometry-optimized MgFeO2F structure, as listed in the Alexandria database.

a b c (Å): 3.885 3.885 3.783
angles (deg): 90.00 90.00 90.00
Last column: magnetic moment on the atom in μB.
Atoms (fractional coordinates):
Mg: 0.000 0.000 0.000  0.00
Fe: 0.500 0.500 0.500  3.85
O: 0.000 0.500 0.000  0.10
O: 0.500 0.000 0.000  0.10
F: 0.000 0.000 0.500  0.03

- Symmetry: No. 123
- Total magnetic moment: 4.2 Bohr magnetons per cell
- Total DFT energy (no corrections): -5.205 eV per atom



First-principles (GGA+U) data for a geometry-optimized LiV3O4 structure, as listed in the Alexandria database.

a b c (Å): 4.336 4.336 5.272
angles (deg): 114.28 114.28 90.00
Last column: magnetic moment on the atom in μB.
Atoms (fractional coordinates):
Li: 0.000 0.000 0.000  -0.01
V: 0.500 0.500 0.000  2.35
V: 0.750 0.250 0.500  2.50
V: 0.250 0.750 0.500  2.50
O: 0.500 0.000 0.000  0.01
O: 0.000 0.500 0.000  0.01
O: 0.745 0.745 0.489  0.01
O: 0.255 0.255 0.511  0.01

- Symmetry: No. 139
- Relative energy among the computed polymorphs: 0.048 eV/atom
- Total magnetic moment: 8.0 Bohr magnetons per cell



- Which of these has the lowest total magnetic moment?
  MgFeO2F